NaThSi | PBE | optimized geometry

Unit cell a=4.9626 b=4.9626 c=4.9626 alpha=60.00 beta=60.00 gamma=60.00
Sites, in units of the cell vectors:
Na1 0.5000 0.5000 0.5000
Th1 0.2500 0.2500 0.2500
Si1 0.0000 0.0000 0.0000

## Properties
final energy = -4.247 eV per atom

***

AgAsPdO | PBE | optimized geometry

Unit cell a=3.7538 b=3.7538 c=8.5480 alpha=90.00 beta=90.00 gamma=90.00
Sites, in units of the cell vectors:
Pd1 0.0000 0.5000 0.2547
Ag1 0.5000 0.5000 0.5000
Pd2 0.5000 0.0000 0.7453
As1 0.5000 0.0000 0.1368
As2 0.0000 0.5000 0.8632
O1 0.0000 0.0000 0.0000
Ag2 0.0000 0.0000 0.5000
O2 0.5000 0.5000 0.0000

## Properties
E above lowest polymorph = 147 meV per atom

***

DyYNb2Ge2 | PBE | optimized geometry

Unit cell a=4.0342 b=4.0342 c=7.8506 alpha=90.00 beta=90.00 gamma=90.00
Site moments in Bohr magnetons follow the coordinates.
Sites, in units of the cell vectors:
Nb1 0.5000 0.0000 0.0000  0.07
Nb2 0.0000 0.5000 0.0000  0.06
Dy1 0.5000 0.5000 0.3524  0.32
Ge1 0.5000 0.5000 0.7529  -0.01
Ge2 0.0000 0.0000 0.2471  -0.01
Y1 0.0000 0.0000 0.6474  0.24

## Properties
final energy = -7.401 eV per atom

***

HoPaTa | PBE | optimized geometry

Unit cell a=4.8891 b=4.8891 c=4.8891 alpha=60.00 beta=60.00 gamma=60.00
Sites, in units of the cell vectors:
Ta1 0.0000 0.0000 0.0000
Ho1 0.5000 0.5000 0.5000
Pa1 0.2500 0.2500 0.2500

## Properties
E above lowest polymorph = 0 meV per atom
DFT formation energy = 1.291 eV per atom

***

Hf3Al3PdAu2 | PBE | optimized geometry

Unit cell a=6.7559 b=6.7559 c=4.1172 alpha=90.00 beta=90.00 gamma=120.00
Sites, in units of the cell vectors:
Au1 0.6667 0.3333 0.0000
Hf1 0.5832 0.5832 0.5000
Al1 0.0000 0.7572 0.0000
Al2 0.2428 0.2428 0.0000
Pd1 0.0000 0.0000 0.5000
Hf2 0.4168 0.0000 0.5000
Al3 0.7572 0.0000 0.0000
Hf3 0.0000 0.4168 0.5000
Au2 0.3333 0.6667 0.0000

## Properties
final energy = -6.533 eV per atom

***

Zn2MoAs | PBE | optimized geometry

Unit cell a=4.4440 b=4.4440 c=4.4440 alpha=60.00 beta=60.00 gamma=60.00
Sites, in units of the cell vectors:
As1 0.5000 0.5000 0.5000
Zn1 0.0000 0.0000 0.0000
Zn2 0.7500 0.7500 0.7500
Mo1 0.2500 0.2500 0.2500

## Properties
final energy = -4.134 eV per atom

***

HfNiPd | PBE | optimized geometry

Unit cell a=4.1984 b=4.1984 c=4.1984 alpha=60.00 beta=60.00 gamma=60.00
Sites, in units of the cell vectors:
Ni1 0.0000 0.0000 0.0000
Pd1 0.7500 0.7500 0.7500
Hf1 0.2500 0.2500 0.2500

## Properties
DFT formation energy = -0.317 eV per atom

***

SmAgMo | PBE | optimized geometry

Unit cell a=4.7915 b=4.7915 c=4.7915 alpha=60.00 beta=60.00 gamma=60.00
Sites, in units of the cell vectors:
Ag1 0.2500 0.2500 0.2500
Mo1 0.7500 0.7500 0.7500
Sm1 0.0000 0.0000 0.0000

## Properties
E above lowest polymorph = 275 meV per atom
DFT formation energy = 1.242 eV per atom

***

> Number 2 is which compound?

AgAsPdO